Entry 1:
VASP calculation (PBE-GGA) on crystalline PrPaPtAu at its relaxed geometry.

Cell lengths 5.1202, 5.1202, 5.1202 Å; angles 60.00, 60.00, 60.00 degrees
Positions (direct):
1 Pr 0.0000 0.0000 0.0000
2 Pa 0.5000 0.5000 0.5000
3 Pt 0.2500 0.2500 0.2500
4 Au 0.7500 0.7500 0.7500

Space-group type: No. 216
Electronic total energy in eV/cell: -25.9

***

Entry 2:
VASP calculation (PBE-GGA) on crystalline AcGdIn4 at its relaxed geometry.

Cell lengths 6.1804, 6.1804, 6.1804 Å; angles 60.00, 60.00, 60.00 degrees
Positions (direct):
1 Ac 0.0000 0.0000 0.0000
2 Gd 0.7500 0.7500 0.7500
3 In 0.3753 0.3753 0.3753
4 In 0.3753 0.3753 0.8740
5 In 0.3753 0.8740 0.3753
6 In 0.8740 0.3753 0.3753

Space-group type: No. 216
Electronic total energy in eV/cell: -31.4

***

Entry 3:
VASP calculation (PBE-GGA) on crystalline GeAs3Rh6 at its relaxed geometry.

Cell lengths 9.9807, 3.1029, 10.1442 Å; angles 90.00, 97.43, 90.00 degrees
Positions (direct):
1 Ge 0.1868 0.2500 0.0330
2 Ge 0.8132 0.7500 0.9670
3 As 0.0252 0.2500 0.6803
4 As 0.3455 0.2500 0.3897
5 As 0.4563 0.7500 0.8189
6 As 0.5437 0.2500 0.1811
7 As 0.6545 0.7500 0.6103
8 As 0.9748 0.7500 0.3197
9 Rh 0.0348 0.7500 0.8786
10 Rh 0.1229 0.2500 0.4736
11 Rh 0.2036 0.7500 0.2422
12 Rh 0.2618 0.2500 0.7921
13 Rh 0.3863 0.7500 0.0422
14 Rh 0.4052 0.7500 0.5779
15 Rh 0.5948 0.2500 0.4221
16 Rh 0.6137 0.2500 0.9578
17 Rh 0.7382 0.7500 0.2079
18 Rh 0.7964 0.2500 0.7578
19 Rh 0.8771 0.7500 0.5264
20 Rh 0.9652 0.2500 0.1214

Space-group type: No. 11
Electronic total energy in eV/cell: -132.4

***

Entry 4:
VASP calculation (PBE-GGA) on crystalline Li2PCl at its relaxed geometry.

Cell lengths 7.4601, 7.4601, 7.4601 Å; angles 156.43, 156.41, 33.59 degrees
Positions (direct):
1 Li 0.0000 0.0000 0.0000
2 Li 0.7804 0.2804 0.5000
3 P 0.1614 0.6614 0.5000
4 Cl 0.4164 0.4164 0.0000

Formation energy (no corrections) in meV/atom: -815
Space-group type: No. 44
Energy relative to the lowest polymorph listed for this composition in eV/f.u.: 0.11

***

Entry 5:
VASP calculation (PBE-GGA) on crystalline In2NiPb2 at its relaxed geometry.

Cell lengths 7.0130, 7.0130, 5.4667 Å; angles 90.00, 90.00, 90.00 degrees
Positions (direct):
1 In 0.1617 0.3383 0.0000
2 In 0.3383 0.8383 0.0000
3 In 0.6617 0.1617 0.0000
4 In 0.8383 0.6617 0.0000
5 Ni 0.0000 0.0000 0.5000
6 Ni 0.5000 0.5000 0.5000
7 Pb 0.1653 0.6653 0.5000
8 Pb 0.3347 0.1653 0.5000
9 Pb 0.6653 0.8347 0.5000
10 Pb 0.8347 0.3347 0.5000

Space-group type: No. 127
Energy relative to the lowest polymorph listed for this composition in eV/f.u.: 0.28

***

Entry 6:
VASP calculation (PBE-GGA) on crystalline TlHg4Pd15 at its relaxed geometry.

Cell lengths 4.0882, 4.0882, 19.9984 Å; angles 90.00, 90.00, 90.00 degrees
Positions (direct):
1 Tl 0.0000 0.0000 0.0000
2 Hg 0.0000 0.0000 0.2009
3 Hg 0.0000 0.0000 0.4003
4 Hg 0.0000 0.0000 0.5997
5 Hg 0.0000 0.0000 0.7991
6 Pd 0.0000 0.5000 0.1008
7 Pd 0.0000 0.5000 0.3008
8 Pd 0.0000 0.5000 0.5000
9 Pd 0.0000 0.5000 0.6992
10 Pd 0.0000 0.5000 0.8992
11 Pd 0.5000 0.0000 0.1008
12 Pd 0.5000 0.0000 0.3008
13 Pd 0.5000 0.0000 0.5000
14 Pd 0.5000 0.0000 0.6992
15 Pd 0.5000 0.0000 0.8992
16 Pd 0.5000 0.5000 0.0000
17 Pd 0.5000 0.5000 0.2011
18 Pd 0.5000 0.5000 0.4006
19 Pd 0.5000 0.5000 0.5994
20 Pd 0.5000 0.5000 0.7989

Space-group type: No. 123
Electronic total energy in eV/cell: -83.9

***

Entry 7:
VASP calculation (PBE-GGA) on crystalline Y2RhBr at its relaxed geometry.

Cell lengths 3.5238, 3.4547, 8.3137 Å; angles 90.00, 90.09, 90.00 degrees
Positions (direct):
1 Y 0.0010 0.0000 0.2003
2 Y 0.9990 0.0000 0.7997
3 Rh 0.5000 0.5000 0.0000
4 Br 0.0000 0.5000 0.5000

Formation energy (no corrections) in meV/atom: -959
Space-group type: No. 10
Energy relative to the lowest polymorph listed for this composition in eV/f.u.: 0.41

***

Entry 8:
VASP calculation (PBE-GGA) on crystalline Dy2ThNi2 at its relaxed geometry.

Cell lengths 6.2560, 6.2560, 7.1394 Å; angles 99.11, 99.11, 57.22 degrees
Positions (direct):
1 Dy 0.0497 0.2644 0.1550
2 Dy 0.2644 0.0497 0.6550
3 Dy 0.7356 0.9503 0.3450
4 Dy 0.9503 0.7356 0.8450
5 Th 0.4016 0.5984 0.2500
6 Th 0.5984 0.4016 0.7500
7 Ni 0.2081 0.4743 0.4876
8 Ni 0.4743 0.2081 0.9876
9 Ni 0.5257 0.7919 0.0124
10 Ni 0.7919 0.5257 0.5124

Space-group type: No. 15
Electronic total energy in eV/cell: -59.9

***

Entry 9:
VASP calculation (PBE-GGA) on crystalline AcNdAs at its relaxed geometry.

Cell lengths 7.1513, 7.1513, 7.1513 Å; angles 148.76, 148.76, 44.76 degrees
Positions (direct):
1 Ac 0.0000 0.0000 0.0000
2 Nd 0.2591 0.2591 0.0000
3 As 0.6441 0.6441 0.0000

Space-group type: No. 107
Energy relative to the lowest polymorph listed for this composition in eV/f.u.: 0.38

***

Entry 10:
VASP calculation (PBE-GGA) on crystalline TlInMo2 at its relaxed geometry.

Cell lengths 3.2071, 3.2071, 8.0276 Å; angles 90.00, 90.00, 90.00 degrees
Positions (direct):
1 Tl 0.0000 0.0000 0.0000
2 In 0.5000 0.5000 0.3344
3 Mo 0.0000 0.0000 0.5728
4 Mo 0.5000 0.5000 0.7388

Space-group type: No. 99
Energy relative to the lowest polymorph listed for this composition in eV/f.u.: 0.13

***

Entry 11:
VASP calculation (PBE-GGA) on crystalline NpSnSbAu at its relaxed geometry.

Cell lengths 4.2512, 4.4947, 4.9321 Å; angles 90.00, 90.00, 90.00 degrees
Positions (direct):
1 Np 0.0000 0.0000 0.0000
2 Sn 0.5000 0.0000 0.5000
3 Sb 0.5000 0.5000 0.0000
4 Au 0.0000 0.5000 0.5000

Formation energy (no corrections) in meV/atom: -214
Space-group type: No. 47
Energy relative to the lowest polymorph listed for this composition in eV/f.u.: 0.00

***

Entry 12:
VASP calculation (PBE-GGA) on crystalline AcTb3Sm2Y6 at its relaxed geometry.

Cell lengths 6.2662, 6.2662, 11.9141 Å; angles 95.02, 95.02, 119.97 degrees
Positions (direct):
1 Ac 0.0000 0.0000 0.0000
2 Tb 0.1669 0.8331 0.5000
3 Tb 0.5000 0.5000 0.5000
4 Tb 0.8331 0.1669 0.5000
5 Sm 0.3334 0.6666 0.0000
6 Sm 0.6666 0.3334 0.0000
7 Y 0.0857 0.4213 0.2547
8 Y 0.2501 0.2501 0.7451
9 Y 0.4213 0.0857 0.2547
10 Y 0.5787 0.9143 0.7453
11 Y 0.7499 0.7499 0.2549
12 Y 0.9143 0.5787 0.7453

Space-group type: No. 12
Electronic total energy in eV/cell: -65.9

***

Entry 13:
VASP calculation (PBE-GGA) on crystalline Al2MoOs at its relaxed geometry.

Cell lengths 5.5892, 5.5892, 5.5892 Å; angles 103.34, 103.34, 122.59 degrees
Positions (direct):
1 Al 0.1065 0.6250 0.9815
2 Al 0.3750 0.3565 0.4815
3 Al 0.6435 0.1250 0.0185
4 Al 0.8750 0.8935 0.5185
5 Mo 0.2500 0.7500 0.5000
6 Mo 0.5000 0.5000 0.0000
7 Os 0.0000 0.0000 0.0000
8 Os 0.7500 0.2500 0.5000

Space-group type: No. 122
Energy relative to the lowest polymorph listed for this composition in eV/f.u.: 2.98

***

Entry 14:
VASP calculation (PBE-GGA) on crystalline PaCuHgTe3 at its relaxed geometry.

Cell lengths 10.7103, 4.2441, 10.8257 Å; angles 90.00, 117.06, 90.00 degrees
Positions (direct):
1 Pa 0.1871 0.2500 0.1702
2 Pa 0.8129 0.7500 0.8298
3 Cu 0.4094 0.7500 0.4008
4 Cu 0.5906 0.2500 0.5992
5 Hg 0.2815 0.7500 0.7612
6 Hg 0.7185 0.2500 0.2388
7 Te 0.0289 0.2500 0.8480
8 Te 0.3094 0.2500 0.4738
9 Te 0.3702 0.7500 0.1421
10 Te 0.6298 0.2500 0.8579
11 Te 0.6906 0.7500 0.5262
12 Te 0.9711 0.7500 0.1520

Formation energy (no corrections) in meV/atom: -483
Space-group type: No. 11

***

Entry 15:
VASP calculation (PBE-GGA) on crystalline Y3Sc5Sb2 at its relaxed geometry.

Cell lengths 9.9724, 9.9724, 9.9724 Å; angles 104.01, 86.93, 144.24 degrees
Positions (direct):
1 Y 0.2168 0.1348 0.3516
2 Y 0.2500 0.2500 0.0000
3 Y 0.2832 0.6348 0.9180
4 Y 0.7168 0.3652 0.0820
5 Y 0.7500 0.7500 0.0000
6 Y 0.7832 0.8652 0.6484
7 Sc 0.1623 0.4128 0.5751
8 Sc 0.2500 0.5140 0.2640
9 Sc 0.2500 0.7500 0.5000
10 Sc 0.2500 0.9860 0.7360
11 Sc 0.3377 0.9128 0.2504
12 Sc 0.6623 0.0872 0.7496
13 Sc 0.7500 0.0140 0.2640
14 Sc 0.7500 0.2500 0.5000
15 Sc 0.7500 0.4860 0.7360
16 Sc 0.8377 0.5872 0.4249
17 Sb 0.1482 0.8506 0.9988
18 Sb 0.3518 0.3506 0.7025
19 Sb 0.6482 0.6494 0.2975
20 Sb 0.8518 0.1494 0.0012

Formation energy (no corrections) in meV/atom: -223
Space-group type: No. 72

***

Entry 16:
VASP calculation (PBE-GGA) on crystalline TlReB2 at its relaxed geometry.

Cell lengths 6.2248, 6.2248, 6.2248 Å; angles 129.37, 129.37, 74.42 degrees
Positions (direct):
1 Tl 0.0000 0.0000 0.0000
2 Tl 0.7500 0.2500 0.5000
3 Re 0.2500 0.7500 0.5000
4 Re 0.5000 0.5000 0.0000
5 B 0.2053 0.6250 0.0803
6 B 0.3750 0.4553 0.5803
7 B 0.5447 0.1250 0.9197
8 B 0.8750 0.7947 0.4197

Space-group type: No. 122
Energy relative to the lowest polymorph listed for this composition in eV/f.u.: 0.00

***

Entry 17:
VASP calculation (PBE-GGA) on crystalline HoHg2 at its relaxed geometry.

Cell lengths 4.9506, 4.9506, 3.4138 Å; angles 90.00, 90.00, 120.00 degrees
Positions (direct):
1 Ho 0.0000 0.0000 0.0000
2 Hg 0.3333 0.6667 0.5000
3 Hg 0.6667 0.3333 0.5000

Space-group type: No. 191
Electronic total energy in eV/cell: -6.3

***

Entry 18:
VASP calculation (PBE-GGA) on crystalline Dy4IrPd3 at its relaxed geometry.

Cell lengths 3.7426, 4.4973, 10.5216 Å; angles 90.00, 90.00, 90.00 degrees
Positions (direct):
1 Dy 0.0000 0.0000 0.0000
2 Dy 0.0000 0.5000 0.2668
3 Dy 0.5000 0.0000 0.4832
4 Dy 0.5000 0.5000 0.7672
5 Ir 0.5000 0.0000 0.2170
6 Pd 0.0000 0.0000 0.7164
7 Pd 0.0000 0.5000 0.5471
8 Pd 0.5000 0.5000 0.0400

Space-group type: No. 25
Electronic total energy in eV/cell: -50.1

***

Entry 19:
VASP calculation (PBE-GGA) on crystalline Tm12Ni6H at its relaxed geometry.

Cell lengths 7.6663, 7.6663, 7.6663 Å; angles 96.80, 96.80, 96.80 degrees
Positions (direct):
1 Tm 0.0369 0.9108 0.6833
2 Tm 0.0892 0.3167 0.9631
3 Tm 0.1889 0.5633 0.4120
4 Tm 0.3167 0.9631 0.0892
5 Tm 0.4120 0.1889 0.5633
6 Tm 0.4367 0.5880 0.8111
7 Tm 0.5633 0.4120 0.1889
8 Tm 0.5880 0.8111 0.4367
9 Tm 0.6833 0.0369 0.9108
10 Tm 0.8111 0.4367 0.5880
11 Tm 0.9108 0.6833 0.0369
12 Tm 0.9631 0.0892 0.3167
13 Ni 0.1114 0.2886 0.6231
14 Ni 0.2886 0.6231 0.1114
15 Ni 0.3769 0.8886 0.7114
16 Ni 0.6231 0.1114 0.2886
17 Ni 0.7114 0.3769 0.8886
18 Ni 0.8886 0.7114 0.3769
19 H 0.0000 0.0000 0.0000

Space-group type: No. 148
Electronic total energy in eV/cell: -96.0

***

Entry 20:
VASP calculation (PBE-GGA) on crystalline Sr3Ir5 at its relaxed geometry.

Cell lengths 6.0465, 6.0465, 4.3370 Å; angles 90.00, 90.00, 95.03 degrees
Positions (direct):
1 Sr 0.0000 0.0000 0.0000
2 Sr 0.2403 0.7597 0.5000
3 Sr 0.7597 0.2403 0.5000
4 Ir 0.0000 0.5000 0.0000
5 Ir 0.2951 0.2951 0.5000
6 Ir 0.5000 0.0000 0.0000
7 Ir 0.5000 0.5000 0.0000
8 Ir 0.7049 0.7049 0.5000

Space-group type: No. 65
Energy relative to the lowest polymorph listed for this composition in eV/f.u.: 1.05

***

Entry 21:
VASP calculation (PBE-GGA) on crystalline YHfI2 at its relaxed geometry.

Cell lengths 10.5039, 10.5039, 10.5039 Å; angles 151.98, 151.98, 40.04 degrees
Positions (direct):
1 Y 0.0000 0.0000 0.0000
2 Y 0.7500 0.2500 0.5000
3 Hf 0.2500 0.7500 0.5000
4 Hf 0.5000 0.5000 0.0000
5 I 0.1380 0.6250 0.0130
6 I 0.3750 0.3880 0.5130
7 I 0.6120 0.1250 0.9870
8 I 0.8750 0.8620 0.4870

Formation energy (no corrections) in meV/atom: 7
Space-group type: No. 122
Energy relative to the lowest polymorph listed for this composition in eV/f.u.: 0.51

***

Entry 22:
VASP calculation (PBE-GGA) on crystalline Al2VFePb at its relaxed geometry.

Cell lengths 4.7823, 4.7823, 5.1113 Å; angles 90.00, 90.00, 90.00 degrees
Positions (direct):
1 Al 0.0000 0.5000 0.0000
2 Al 0.5000 0.0000 0.0000
3 V 0.0000 0.0000 0.0000
4 Fe 0.5000 0.5000 0.5000
5 Pb 0.0000 0.0000 0.5000

Space-group type: No. 123
Electronic total energy in eV/cell: -23.5

***

Entry 23:
VASP calculation (PBE-GGA) on crystalline AcCdHg3 at its relaxed geometry.

Cell lengths 5.3213, 5.5028, 9.7204 Å; angles 90.03, 105.74, 90.00 degrees
Positions (direct):
1 Ac 0.1479 0.2505 0.2961
2 Ac 0.8521 0.7495 0.7039
3 Cd 0.3499 0.2501 0.6985
4 Cd 0.6501 0.7499 0.3015
5 Hg 0.0455 0.7502 0.0916
6 Hg 0.2474 0.7505 0.4933
7 Hg 0.4582 0.7499 0.9187
8 Hg 0.5418 0.2501 0.0813
9 Hg 0.7526 0.2495 0.5067
10 Hg 0.9545 0.2498 0.9084

Space-group type: No. 2
Energy relative to the lowest polymorph listed for this composition in eV/f.u.: 0.00

***

N(E_F) / states/eV/cell: 6.94 6.10 16.02 0.63 4.97 24.67 1.38 9.35 3.00 2.19 9.56 15.97 8.36 1.34 30.89 3.58 1.76 5.50 15.80 7.61 7.86 7.81 4.18
Calculated volume / Å³ per atom: 23.73 27.82 15.58 16.60 26.89 16.71 25.30 23.11 32.69 20.64 23.56 33.25 16.13 36.52 27.21 17.56 24.15 22.14 23.17 19.74 31.90 23.38 27.40